This record from Alexandria via LeMat-Bulk describes RbZnIn4 after structural relaxation. The functional is PBE.

Cell: 4.860 18.007 7.768 Å, 90.00 90.00 90.00°
Space group Cmcm (No. 63)
Asymmetric unit:
1 Rb 0.000 0.123 0.250
2 Zn 0.000 0.228 0.750
3 In 0.000 0.070 0.750
4 In 0.000 0.319 0.054
5 In 0.000 0.500 0.000

Computed properties:
The value obtained for the total energy is -2.2260 eV per atom.

=====

This record from Alexandria via LeMat-Bulk describes RbZnIn after structural relaxation. The functional is PBE.

Cell: 4.619 4.842 11.818 Å, 93.82 90.13 115.70°
Space group P-1 (No. 2)
Asymmetric unit:
1 Rb 0.195 0.349 0.188
2 Zn 0.445 0.911 0.603
3 In 0.114 0.286 0.587

Computed properties:
The calculation puts the relative energy among the computed polymorphs at 0.04 eV/f.u.

=====

This record from Alexandria via LeMat-Bulk describes RbZnIn3 after structural relaxation. The functional is PBE.

Cell: 7.4990 7.4990 6.1620 Å, 90.00 90.00 120.00°
Space group P6_3/mmc (No. 194)
Asymmetric unit:
1 Rb 0.3333 0.6667 0.2500
2 Zn 0.0000 0.0000 0.0000
3 In 0.1844 0.3687 0.7500

Computed properties:
The calculation puts the relative energy among the computed polymorphs at 0.50 eV/f.u.

=====

This record from Alexandria via LeMat-Bulk describes RbZnIn3 after structural relaxation. The functional is PBE.

Cell: 5.492 5.492 5.492 Å, 90.00 90.00 90.00°
Space group Pm-3m (No. 221)
Asymmetric unit:
1 Rb 0.000 0.000 0.000
2 Zn 0.500 0.500 0.500
3 In 0.000 0.500 0.500

Computed properties:
The calculation puts the relative energy among the computed polymorphs at 0.94 eV/f.u.

=====

It is found that the volume values, taken in the order of the records, are 170, 119, 150, 166 Å³/f.u..